(1)
BeNi2Cl | PBE | relaxed

a b c (Å): 8.5486 8.5486 8.5486
angles (deg): 18.95 18.95 18.95
Closest atoms and distances in Å follow each position.
Fractional coordinates of all 4 atoms:
Be1 0.5023 0.5023 0.5023  3 Cl 2.09
Ni1 0.9765 0.9765 0.9765  3 Ni 2.44
Ni2 0.2375 0.2375 0.2375  3 Be 2.37, 3 Ni 2.44
Cl1 0.7837 0.7837 0.7837  3 Be 2.09

Output
D(E_F)	4.2	states/eV/cell
symmetry	R3m (160)
total magnetic moment	0.492	μB per formula unit
VASP energy	-4.124	eV per atom

(2)
Pr5CdCu4 | PBE | relaxed

a b c (Å): 3.6302 3.6302 18.8258
angles (deg): 90.00 90.00 90.00
Closest atoms and distances in Å follow each position.
Fractional coordinates of all 10 atoms:
Cu1 0.0000 0.0000 0.4041  8 Pr 3.14-3.15
Cu2 0.0000 0.0000 0.7882  8 Pr 3.13
Cu3 0.0000 0.0000 0.5959  8 Pr 3.14-3.15
Cu4 0.0000 0.0000 0.2118  8 Pr 3.13
Pr1 0.5000 0.5000 0.3071  8 Cu 3.13-3.15
Pr2 0.5000 0.5000 0.1163  4 Cu 3.13, 4 Cd 3.37
Pr3 0.5000 0.5000 0.6929  8 Cu 3.13-3.15
Pr4 0.5000 0.5000 0.8837  4 Cu 3.13, 4 Cd 3.37
Pr5 0.5000 0.5000 0.5000  8 Cu 3.14
Cd1 0.0000 0.0000 0.0000  8 Pr 3.37, 4 Cd 3.63

Output
D(E_F)	9.7	states/eV/cell
symmetry	P4/mmm (123)
total magnetic moment	0.338	μB per formula unit
VASP energy	-4.274	eV per atom

Among the records above, which one has the highest D(E_F)?
Pr5CdCu4

What did the second record say?
Pr5CdCu4 | PBE | relaxed

a b c (Å): 3.6302 3.6302 18.8258
angles (deg): 90.00 90.00 90.00
Closest atoms and distances in Å follow each position.
Fractional coordinates of all 10 atoms:
Cu1 0.0000 0.0000 0.4041  8 Pr 3.14-3.15
Cu2 0.0000 0.0000 0.7882  8 Pr 3.13
Cu3 0.0000 0.0000 0.5959  8 Pr 3.14-3.15
Cu4 0.0000 0.0000 0.2118  8 Pr 3.13
Pr1 0.5000 0.5000 0.3071  8 Cu 3.13-3.15
Pr2 0.5000 0.5000 0.1163  4 Cu 3.13, 4 Cd 3.37
Pr3 0.5000 0.5000 0.6929  8 Cu 3.13-3.15
Pr4 0.5000 0.5000 0.8837  4 Cu 3.13, 4 Cd 3.37
Pr5 0.5000 0.5000 0.5000  8 Cu 3.14
Cd1 0.0000 0.0000 0.0000  8 Pr 3.37, 4 Cd 3.63

Output
D(E_F)	9.7	states/eV/cell
symmetry	P4/mmm (123)
total magnetic moment	0.338	μB per formula unit
VASP energy	-4.274	eV per atom

Which value of D(E_F) does entry 2 give?
9.7 states/eV/cell